Entry 1:
Density functional theory data (PBE) for CdCu2SiSe2S2 after structural relaxation.

**Space group**: C2, No. 5
**Energy above the lowest structure with this stoichiometry**: 0 meV per atom

Cell and atoms, written as CIF:
```
data_CdCu2SiSe2S2
_cell_length_a 6.629
_cell_length_b 6.629
_cell_length_c 5.625
_cell_angle_alpha 114.29
_cell_angle_beta 114.29
_cell_angle_gamma 50.06
_space_group_name_H-M_alt 'P 1'
_space_group_IT_number 1
loop_
_space_group_symop_operation_xyz
'x,y,z'
loop_
_atom_site_label
_atom_site_type_symbol
_atom_site_fract_x
_atom_site_fract_y
_atom_site_fract_z
_atom_site_occupancy
Se1 Se 0.854 0.415 0.856 1
Se2 Se 0.585 0.146 0.144 1
Si1 Si 0.488 0.512 0.500 1
S1 S 0.405 0.850 0.408 1
S2 S 0.150 0.595 0.592 1
Cd1 Cd 0.011 0.989 0.000 1
Cu1 Cu 0.254 0.246 0.722 1
Cu2 Cu 0.754 0.746 0.278 1
```

***

Entry 2:
Density functional theory data (PBE) for CdCu2SiSe2S2 after structural relaxation.

**Space group**: Fmm2, No. 42
**Energy above the lowest structure with this stoichiometry**: 3 meV per atom

Cell and atoms, written as CIF:
```
data_CdCu2SiSe2S2
_cell_length_a 6.677
_cell_length_b 6.663
_cell_length_c 5.611
_cell_angle_alpha 65.26
_cell_angle_beta 64.99
_cell_angle_gamma 49.75
_space_group_name_H-M_alt 'P 1'
_space_group_IT_number 1
loop_
_space_group_symop_operation_xyz
'x,y,z'
loop_
_atom_site_label
_atom_site_type_symbol
_atom_site_fract_x
_atom_site_fract_y
_atom_site_fract_z
_atom_site_occupancy
Cd1 Cd 0.008 0.008 0.992 1
S1 S 0.415 0.850 0.585 1
S2 S 0.850 0.415 0.150 1
Cu1 Cu 0.739 0.739 0.761 1
Cu2 Cu 0.239 0.239 0.261 1
Si1 Si 0.508 0.508 0.492 1
Se1 Se 0.147 0.595 0.405 1
Se2 Se 0.595 0.147 0.853 1
```

***

Entry 3:
Density functional theory data (PBE) for CdCu2SnSe3S after structural relaxation.

**Space group**: Cm, No. 8
**Energy**: -3.752 eV per atom

Cell and atoms, written as CIF:
```
data_CdCu2SnSe3S
_cell_length_a 5.836
_cell_length_b 5.836
_cell_length_c 7.030
_cell_angle_alpha 114.28
_cell_angle_beta 114.28
_cell_angle_gamma 90.03
_space_group_name_H-M_alt 'P 1'
_space_group_IT_number 1
loop_
_space_group_symop_operation_xyz
'x,y,z'
loop_
_atom_site_label
_atom_site_type_symbol
_atom_site_fract_x
_atom_site_fract_y
_atom_site_fract_z
_atom_site_occupancy
Sn1 Sn 0.497 0.497 0.006 1
Se1 Se 0.114 0.604 0.719 1
Se2 Se 0.886 0.886 0.287 1
Se3 Se 0.604 0.114 0.719 1
Cu1 Cu 0.259 0.733 0.490 1
Cu2 Cu 0.733 0.259 0.490 1
S1 S 0.397 0.397 0.280 1
Cd1 Cd 0.011 0.011 0.009 1
```